[1]
An optimized crystal structure of Sr2TmZn3Pt4. Source: Alexandria via LeMat-Bulk, functional PBE-GGA.

V ... 21.34 Å³/atom
Total energy ... -4.361 eV/atom
DOS(E_F) ... 4.08 states/eV/f.u.
ΔH_f (0 K) ... -751 kJ/mol of formula units

```
10
Lattice="-2.009 -2.142 3.179 -3.034 -1.304 -2.796 6.169 -9.289 -2.361" Properties=species:S:1:pos:R:3 pbc="T T T"
Tm 0.563 -6.368 -0.989
Pt 0.643 -3.905 -2.225
Pt -2.521 -1.723 0.191
Pt 0.000 0.000 0.000
Pt 3.004 -7.107 0.055
Zn 3.084 -4.645 -1.181
Zn -0.759 -1.794 -1.688
Zn 4.406 -9.218 -0.482
Sr 0.380 -3.156 1.059
Sr 3.267 -7.856 -3.230
```


[2]
An optimized crystal structure of MnFe2HAu. Source: Alexandria via LeMat-Bulk, functional PBE-GGA.

V ... 10.15 Å³/atom
Total energy ... -6.202 eV/atom
DOS(E_F) ... 10.93 states/eV/f.u.

```
5
Lattice="-1.208 3.427 -0.773 -2.622 -0.348 2.554 2.308 1.390 2.558" Properties=species:S:1:pos:R:3 pbc="T T T"
Fe 1.154 0.695 1.279
Fe -0.604 1.714 -0.386
H 0.000 0.000 0.000
Mn -1.311 -0.174 1.277
Au -0.761 2.235 2.170
```


[3]
An optimized crystal structure of AgGeS2. Source: Alexandria via LeMat-Bulk, functional PBE-GGA.

V ... 18.59 Å³/atom
Total energy ... -4.076 eV/atom
DOS(E_F) ... 0.81 states/eV/f.u.
Energy relative to the elements, uncorrected ... -0.145 eV/atom

```
8
Lattice="3.655 -0.038 0.481 0.111 6.395 -0.189 0.996 1.247 6.452" Properties=species:S:1:pos:R:3 pbc="T T T"
Ge 1.137 6.375 1.395
Ge 2.909 3.158 1.731
S 0.905 4.290 2.910
S 2.251 3.311 6.523
S 2.677 1.074 3.245
S 4.135 6.489 6.669
Ag 4.291 2.174 5.125
Ag 2.520 5.390 4.789
```


[4]
An optimized crystal structure of BaS3Br. Source: Alexandria via LeMat-Bulk, functional PBE-GGA.

V ... 48.14 Å³/atom
Total energy ... -2.755 eV/atom
DOS(E_F) ... 5.29 states/eV/f.u.
E above lowest polymorph ... 1.392 eV per atom
Energy relative to the elements, uncorrected ... 0.441 eV/atom

```
5
Lattice="6.221 0.000 0.000 0.000 6.221 0.000 0.000 0.000 6.221" Properties=species:S:1:pos:R:3 pbc="T T T"
S 0.000 3.110 0.000
S 0.000 0.000 3.110
S 3.110 0.000 0.000
Ba 0.000 0.000 0.000
Br 3.110 3.110 3.110
```


[5]
An optimized crystal structure of DyScN2. Source: Alexandria via LeMat-Bulk, functional PBE-GGA.

V ... 13.43 Å³/atom
Total energy ... -8.369 eV/atom
DOS(E_F) ... 0.04 states/eV/f.u.
Energy relative to the elements, uncorrected ... -1.473 eV/atom

```
4
Lattice="3.297 0.000 0.000 1.649 2.856 0.000 1.649 0.952 5.706" Properties=species:S:1:pos:R:3 pbc="T T T"
Dy 4.946 2.856 5.649
N 1.649 0.952 4.253
N 1.649 0.952 1.495
Sc 3.297 1.904 2.869
```


[6]
An optimized crystal structure of PaNbSe3. Source: Alexandria via LeMat-Bulk, functional PBE-GGA.

V ... 22.88 Å³/atom
Total energy ... -7.045 eV/atom
DOS(E_F) ... 3.36 states/eV/f.u.
E above lowest polymorph ... 0.085 eV per atom
Energy relative to the elements, uncorrected ... -1.041 eV/atom

```
20
Lattice="6.999 0.111 0.123 -1.434 8.103 -0.165 -1.434 -1.030 8.039" Properties=species:S:1:pos:R:3 pbc="T T T"
Nb 3.815 7.800 0.274
Nb 0.316 6.217 1.585
Nb 3.815 0.967 6.412
Nb 0.316 -0.616 7.723
Se 3.833 6.874 6.103
Se 3.797 1.906 0.572
Se -0.860 1.824 7.358
Se 0.298 0.309 1.894
Se 0.333 5.278 7.426
Se 4.990 5.360 0.639
Se 1.491 0.008 5.336
Se 2.640 7.176 2.661
Se 1.701 4.030 2.331
Se -1.070 5.242 3.680
Se 5.201 1.942 4.318
Se 2.429 3.154 5.666
Pa 1.524 5.736 4.791
Pa -1.975 4.096 6.154
Pa 2.606 1.448 3.206
Pa 6.105 3.088 1.843
```


[7]
An optimized crystal structure of MgRhCl2. Source: Alexandria via LeMat-Bulk, functional PBE-GGA.

V ... 21.79 Å³/atom
Total energy ... -3.653 eV/atom
DOS(E_F) ... 3.38 states/eV/f.u.
E above lowest polymorph ... 0.166 eV per atom
Energy relative to the elements, uncorrected ... -0.493 eV/atom

```
4
Lattice="-1.020 -0.817 3.057 1.728 -2.243 -1.742 7.633 3.231 3.410" Properties=species:S:1:pos:R:3 pbc="T T T"
Mg 3.844 1.627 1.717
Cl 2.810 -0.491 1.755
Cl 7.062 2.990 3.155
Rh 6.073 0.891 3.212
```


[8]
An optimized crystal structure of Mo15Se19. Source: Alexandria via LeMat-Bulk, functional PBE-GGA.

V ... 23.46 Å³/atom
Total energy ... -7.235 eV/atom
DOS(E_F) ... 22.53 states/eV/f.u.
E above lowest polymorph ... 0.002 eV per atom
Energy relative to the elements, uncorrected ... -0.509 eV/atom

```
68
Lattice="-6.006 7.442 1.245 -2.506 2.738 8.901 12.613 15.772 3.923" Properties=species:S:1:pos:R:3 pbc="T T T"
Mo -2.049 4.114 7.598
Mo 3.452 7.112 4.750
Mo 1.992 5.290 3.317
Mo 3.639 18.707 11.784
Mo 0.926 18.379 11.965
Mo 4.374 21.605 9.315
Mo -0.317 4.520 2.060
Mo 0.416 1.310 1.382
Mo 0.476 13.101 5.892
Mo 2.077 11.071 6.620
Mo -4.115 6.970 1.262
Mo 3.176 7.573 2.104
Mo 0.649 18.839 9.319
Mo 6.150 21.838 6.470
Mo 3.625 12.850 8.177
Mo -0.272 4.347 4.754
Mo 3.479 19.023 9.119
Mo 3.267 13.411 5.575
Mo 8.216 18.982 12.807
Mo 1.871 9.123 3.888
Mo 3.685 24.642 12.687
Mo 2.024 14.880 7.449
Mo 4.418 21.431 12.009
Mo 2.231 16.828 10.181
Mo 0.622 6.928 4.950
Mo 0.835 12.540 8.494
Mo 0.462 7.245 2.285
Mo -1.757 6.252 3.548
Mo 2.109 20.661 10.752
Mo 5.858 19.699 10.521
Se 2.011 8.465 6.428
Se 4.803 17.577 4.418
Se 6.456 22.172 10.670
Se 8.830 15.662 9.512
Se -1.063 12.134 10.246
Se -6.011 12.183 10.233
Se 2.555 10.736 9.186
Se 5.607 13.000 9.875
Se -4.729 10.290 4.557
Se -0.528 14.649 7.706
Se -3.893 12.467 7.142
Se 4.943 17.150 10.165
Se 2.090 17.486 7.641
Se 1.546 15.215 4.883
Se -1.515 6.209 6.129
Se 7.994 13.484 6.927
Se -0.450 10.973 6.947
Se 2.194 14.186 9.935
Se 8.446 19.181 10.238
Se 10.919 16.256 6.530
Se -0.304 16.756 10.433
Se -4.344 6.771 3.830
Se -0.701 8.375 9.651
Se 5.164 13.817 3.823
Se -0.842 8.801 3.904
Se -4.070 9.236 9.840
Se 4.551 14.979 7.122
Se 8.171 16.716 4.229
Se 1.907 11.766 4.134
Se 7.745 20.282 5.069
Se -2.355 3.780 3.399
Se 4.629 11.303 6.363
Se -6.818 9.696 7.539
Se -1.506 12.952 4.194
Se 10.113 13.769 3.836
Se 5.616 19.742 7.940
Se -3.643 5.669 9.000
Se 4.405 9.196 3.636
```


[9]
An optimized crystal structure of BaScPbAu2. Source: Alexandria via LeMat-Bulk, functional PBE-GGA.

V ... 41.16 Å³/atom
Total energy ... -2.900 eV/atom
DOS(E_F) ... 5.89 states/eV/f.u.
ΔH_f (0 K) ... 388 kJ/mol of formula units

```
5
Lattice="5.728 0.000 0.000 0.000 6.273 0.000 0.000 0.000 5.728" Properties=species:S:1:pos:R:3 pbc="T T T"
Pb 0.000 3.137 0.000
Sc 2.864 3.137 2.864
Au 2.864 0.000 0.000
Au 0.000 0.000 2.864
Ba 0.000 0.000 0.000
```


[10]
An optimized crystal structure of Sr8MgHg2. Source: Alexandria via LeMat-Bulk, functional PBE-GGA.

V ... 44.02 Å³/atom
Total energy ... -1.593 eV/atom
DOS(E_F) ... 13.42 states/eV/f.u.
ΔH_f (0 K) ... -180 kJ/mol of formula units

```
11
Lattice="6.332 0.094 -1.044 -2.099 8.282 -3.381 0.096 -0.009 9.188" Properties=species:S:1:pos:R:3 pbc="T T T"
Sr -1.580 6.326 -0.357
Sr 3.607 0.637 2.164
Sr -0.435 2.000 6.201
Sr 3.041 2.774 -1.075
Sr 1.277 5.645 5.873
Sr 0.712 7.781 2.635
Sr 3.857 5.264 2.799
Sr 0.462 3.150 1.997
Mg 6.315 0.120 -1.024
Hg 1.753 5.737 0.082
Hg 2.562 2.680 4.717
```